# 1
Ho4ZnSb: relaxed, PBE-GGA.

The total magnetization is 0.0 μB/cell. As for the total energy: -4.369 eV per atom. Its space group is C2/c. The relative energy among the computed polymorphs comes out at 0.041 eV/atom.

Lattice parameters (Å, degrees): 5.989 8.391 8.041 114.24 102.51 107.37
Positions (direct):
Ho: 0.054 0.211 0.833
Ho: 0.772 0.707 0.630
Ho: 0.279 0.622 0.833
Ho: 0.358 0.923 0.630
Ho: 0.642 0.077 0.370
Ho: 0.721 0.378 0.167
Ho: 0.228 0.293 0.370
Ho: 0.946 0.789 0.167
Zn: 0.250 0.000 0.000
Zn: 0.750 0.000 0.000
Sb: 0.367 0.617 0.234
Sb: 0.633 0.383 0.766

# 2
MgCdAs2: relaxed, PBE-GGA.

The total magnetization is 0.0 μB/cell. As for the total energy: -2.782 eV per atom. Its space group is R3m. The relative energy among the computed polymorphs comes out at 0.291 eV/atom. The calculation puts the energy of formation from the pure elements at 0.170 eV per atom.

Lattice parameters (Å, degrees): 10.007 10.007 10.007 18.11 18.11 18.11
Positions (direct):
As: 0.009 0.009 0.009
As: 0.244 0.244 0.244
Cd: 0.499 0.499 0.499
Mg: 0.747 0.747 0.747